CoNiTe2N: relaxed, PBEsol.

The calculation puts the total moment at 1.15 μB/f.u. The volume comes out at 17.40 Å³ per atom. For the energy relative to the elements, uncorrected, the calculation gives 0.662 eV per atom.

a = 3.321 Å, b = 5.118 Å, c = 5.118 Å
α = 90.00°, β = 90.00°, γ = 90.00°
Atoms (fractional coordinates):
Ni (0.000, 0.000, 0.000)
Te (0.000, 0.000, 0.500)
Te (0.000, 0.500, 0.000)
Co (0.500, 0.500, 0.500)
N (0.500, 0.000, 0.000)



Ta2AlPbAu: relaxed, PBEsol.

The calculation puts the total moment at 0.01 μB/f.u. The volume comes out at 26.24 Å³ per atom. The formation energy is 2110 meV/atom.

a = 4.964 Å, b = 5.141 Å, c = 5.141 Å
α = 90.00°, β = 90.00°, γ = 90.00°
Atoms (fractional coordinates):
Pb (0.000, 0.000, 0.000)
Au (0.500, 0.000, 0.000)
Al (0.500, 0.500, 0.500)
Ta (0.000, 0.000, 0.500)
Ta (0.000, 0.500, 0.000)



Ca2LaNi: relaxed, PBEsol.

The calculation puts the total moment at 0.00 μB/f.u. For the energy relative to the lowest polymorph listed for this composition, the calculation gives 0.126 eV/f.u. The volume comes out at 32.56 Å³ per atom. The formation energy is -42 meV/atom.

a = 3.917 Å, b = 3.917 Å, c = 10.058 Å
α = 78.77°, β = 78.77°, γ = 60.00°
Atoms (fractional coordinates):
Ni (0.247, 0.247, 0.260)
Ca (0.972, 0.972, 0.084)
Ca (0.750, 0.750, 0.749)
La (0.531, 0.531, 0.408)



Cu2SiPt: relaxed, PBEsol.

The calculation puts the total moment at 0.00 μB/f.u. The volume comes out at 12.74 Å³ per atom. For the energy relative to the elements, uncorrected, the calculation gives -0.275 eV per atom.

a = 2.997 Å, b = 4.250 Å, c = 4.504 Å
α = 108.46°, β = 109.43°, γ = 90.00°
Atoms (fractional coordinates):
Si (0.743, 0.296, 0.486)
Cu (0.016, 0.966, 0.032)
Cu (0.260, 0.795, 0.520)
Pt (0.481, 0.443, 0.962)



P3CBr: relaxed, PBEsol.

The calculation puts the total moment at 0.00 μB/f.u. The volume comes out at 14.62 Å³ per atom. For the energy relative to the elements, uncorrected, the calculation gives 1.329 eV per atom.

a = 4.181 Å, b = 4.181 Å, c = 4.181 Å
α = 90.00°, β = 90.00°, γ = 90.00°
Atoms (fractional coordinates):
P (0.000, 0.500, 0.000)
P (0.000, 0.000, 0.500)
P (0.500, 0.000, 0.000)
C (0.000, 0.000, 0.000)
Br (0.500, 0.500, 0.500)



Al3GaMo: relaxed, PBEsol.

The calculation puts the total moment at 2.80 μB/f.u. The volume comes out at 19.84 Å³ per atom. The formation energy is 1198 meV/atom.

a = 4.629 Å, b = 4.629 Å, c = 4.629 Å
α = 90.00°, β = 90.00°, γ = 90.00°
Atoms (fractional coordinates):
Mo (0.500, 0.500, 0.500)
Al (0.000, 0.500, 0.000)
Al (0.000, 0.000, 0.500)
Al (0.500, 0.000, 0.000)
Ga (0.000, 0.000, 0.000)



YMnAl: relaxed, PBEsol.

The calculation puts the total moment at 2.39 μB/f.u. The volume comes out at 18.65 Å³ per atom. The formation energy is -27 meV/atom.

a = 3.208 Å, b = 3.208 Å, c = 5.891 Å
α = 105.80°, β = 105.80°, γ = 90.00°
Atoms (fractional coordinates):
Y (0.323, 0.323, 0.646)
Mn (0.647, 0.647, 0.293)
Al (0.030, 0.030, 0.061)



TcAuI2N: relaxed, PBEsol.

The calculation puts the total moment at 4.37 μB/f.u. The volume comes out at 25.51 Å³ per atom. For the energy relative to the elements, uncorrected, the calculation gives 1.503 eV per atom.

a = 3.699 Å, b = 5.872 Å, c = 5.872 Å
α = 90.00°, β = 90.00°, γ = 90.00°
Atoms (fractional coordinates):
I (0.000, 0.000, 0.500)
I (0.000, 0.500, 0.000)
Au (0.000, 0.000, 0.000)
Tc (0.500, 0.500, 0.500)
N (0.500, 0.000, 0.000)



- total moment of number 6 (Al3GaMo)?
  2.80 μB/f.u.



- Which value of total moment does entry 1 give?
  1.15 μB/f.u.